# Tm2Tl3BiSe6

Tm2Tl3BiSe6 after structural relaxation (GGA-PBE, Alexandria via LeMat-Bulk).

E_form (uncorrected) = -1.07 eV/atom
uncorrected energy = -53.6 eV/f.u.

Cell: 7.2718 7.2718 8.1062 Å, 98.58 98.58 120.00°
Atoms (fractional coordinates):
Tm 0.1669 0.8331 0.0000
Tm 0.8331 0.1669 0.0000
Tl 0.0000 0.0000 0.5000
Tl 0.3351 0.6649 0.5000
Tl 0.6649 0.3351 0.5000
Bi 0.5000 0.5000 0.0000
Se 0.0869 0.4315 0.7945
Se 0.2233 0.2233 0.2045
Se 0.4315 0.0869 0.7945
Se 0.5685 0.9131 0.2055
Se 0.7767 0.7767 0.7955
Se 0.9131 0.5685 0.2055